# Zr2Te2Au (PBE, optimized geometry)
data_Zr2Te2Au
_chemical_formula_sum 'Zr4 Te4 Au2'
_space_group_name_H-M_alt 'P 1'
_space_group_IT_number 1
_space_group_name_Hall 'P 1'
_cell_length_a 7.839
_cell_length_b 7.839
_cell_length_c 3.819
_cell_angle_alpha 90.00
_cell_angle_beta 90.00
_cell_angle_gamma 90.00
loop_
_atom_site_label
_atom_site_type_symbol
_atom_site_fract_x
_atom_site_fract_y
_atom_site_fract_z
Zr1 Zr 0.146 0.354 0.000
Zr2 Zr 0.354 0.854 0.000
Zr3 Zr 0.646 0.146 0.000
Zr4 Zr 0.854 0.646 0.000
Te1 Te 0.149 0.649 0.500
Te2 Te 0.351 0.149 0.500
Te3 Te 0.649 0.851 0.500
Te4 Te 0.851 0.351 0.500
Au1 Au 0.000 0.000 0.000
Au2 Au 0.500 0.500 0.000
# formation energy from raw total energies = -0.66 eV per atom
# size of the total moment = 0.0 μB/cell